No. 1
# KCa2LaIr

An optimized crystal structure of KCa2LaIr (GGA-PBE, the Alexandria database).

Unit cell a=6.5421 b=5.0119 c=6.5421 alpha=90.00 beta=90.00 gamma=90.00
Positions (direct):
La  0.0000  0.0000  0.0000
K  0.5000  0.5000  0.5000
Ca  0.0000  0.0000  0.5000
Ca  0.5000  0.0000  0.0000
Ir  0.0000  0.5000  0.0000

The density comes out at 3.49 Mg/m³. For the energy above the most stable polymorph in this dataset, the calculation gives 0.835 eV/atom. As for the total moment: 0.95 μB/f.u.


No. 2
# KCa2LaIr

An optimized crystal structure of KCa2LaIr (GGA-PBE, the Alexandria database).

Unit cell a=5.8679 b=5.8679 c=5.5195 alpha=90.00 beta=90.00 gamma=90.00
Positions (direct):
Ca  0.5000  0.0000  0.0000
Ca  0.0000  0.5000  0.0000
La  0.0000  0.0000  0.5000
Ir  0.0000  0.0000  0.0000
K  0.5000  0.5000  0.5000

The density comes out at 3.94 Mg/m³. For the energy above the most stable polymorph in this dataset, the calculation gives 0.000 eV/atom. As for the total moment: 0.00 μB/f.u.


No. 3
# KCa2LaIr

An optimized crystal structure of KCa2LaIr (GGA-PBE, the Alexandria database).

Unit cell a=5.5010 b=6.1435 c=5.5010 alpha=90.00 beta=90.00 gamma=90.00
Positions (direct):
Ca  0.5000  0.0000  0.0000
Ca  0.0000  0.0000  0.5000
La  0.5000  0.5000  0.5000
Ir  0.0000  0.0000  0.0000
K  0.0000  0.5000  0.0000

The density comes out at 4.02 Mg/m³. For the energy above the most stable polymorph in this dataset, the calculation gives 0.600 eV/atom. As for the total moment: 0.00 μB/f.u.


No. 4
# KLiCa2Ir

An optimized crystal structure of KLiCa2Ir (GGA-PBE, the Alexandria database).

Unit cell a=5.5442 b=5.5442 c=5.3621 alpha=90.00 beta=90.00 gamma=90.00
Positions (direct):
K  0.5000  0.5000  0.5000
Ir  0.0000  0.0000  0.0000
Li  0.0000  0.0000  0.5000
Ca  0.5000  0.0000  0.0000
Ca  0.0000  0.5000  0.0000

The density comes out at 3.21 Mg/m³. The electronic total energy comes out at -3.17 eV per atom. As for the total moment: 0.00 μB/f.u.


No. 5
# KCa2MgIr

An optimized crystal structure of KCa2MgIr (GGA-PBE, the Alexandria database).

Unit cell a=5.5757 b=5.5757 c=5.3583 alpha=90.00 beta=90.00 gamma=90.00
Positions (direct):
K  0.5000  0.5000  0.5000
Ir  0.0000  0.0000  0.0000
Ca  0.5000  0.0000  0.0000
Ca  0.0000  0.5000  0.0000
Mg  0.0000  0.0000  0.5000

The density comes out at 3.35 Mg/m³. The electronic total energy comes out at -3.24 eV per atom. As for the total moment: 0.00 μB/f.u.


No. 6
# KCaMg2Ir

An optimized crystal structure of KCaMg2Ir (GGA-PBE, the Alexandria database).

Unit cell a=5.2204 b=5.2204 c=5.4217 alpha=90.00 beta=90.00 gamma=90.00
Positions (direct):
K  0.5000  0.5000  0.5000
Mg  0.0000  0.5000  0.0000
Mg  0.5000  0.0000  0.0000
Ca  0.0000  0.0000  0.5000
Ir  0.0000  0.0000  0.0000

The density comes out at 3.60 Mg/m³. For the energy above the most stable polymorph in this dataset, the calculation gives 0.000 eV/atom. As for the total moment: 0.00 μB/f.u.


No. 7
# KCaMg2Ir

An optimized crystal structure of KCaMg2Ir (GGA-PBE, the Alexandria database).

Unit cell a=5.3782 b=5.2118 c=5.3782 alpha=90.00 beta=90.00 gamma=90.00
Positions (direct):
Mg  0.0000  0.0000  0.5000
Mg  0.5000  0.0000  0.0000
Ca  0.5000  0.5000  0.5000
Ir  0.0000  0.5000  0.0000
K  0.0000  0.0000  0.0000

The density comes out at 3.52 Mg/m³. For the energy above the most stable polymorph in this dataset, the calculation gives 1.296 eV/atom. As for the total moment: 0.00 μB/f.u.


No. 8
# KNaCa2Ir

An optimized crystal structure of KNaCa2Ir (GGA-PBE, the Alexandria database).

Unit cell a=5.5384 b=5.5384 c=5.9486 alpha=90.00 beta=90.00 gamma=90.00
Positions (direct):
K  0.5000  0.5000  0.5000
Ca  0.0000  0.5000  0.0000
Ca  0.5000  0.0000  0.0000
Ir  0.0000  0.0000  0.0000
Na  0.0000  0.0000  0.5000

The density comes out at 3.04 Mg/m³. The electronic total energy comes out at -3.02 eV per atom. As for the total moment: 0.00 μB/f.u.


No. 9
# K3Ca2IrO6

An optimized crystal structure of K3Ca2IrO6 (GGA-PBE, the Alexandria database).

Unit cell a=5.8659 b=5.8659 c=6.4304 alpha=98.82 beta=98.82 gamma=119.97
Positions (direct):
O  0.7715  0.7715  0.1849
O  0.2285  0.2285  0.8151
O  0.0621  0.3536  0.1853
O  0.9379  0.6464  0.8147
O  0.3536  0.0621  0.1853
O  0.6464  0.9379  0.8147
Ir  0.0000  0.0000  0.0000
K  0.1671  0.8329  0.5000
K  0.5000  0.5000  0.5000
K  0.8329  0.1671  0.5000
Ca  0.3333  0.6667  0.0000
Ca  0.6667  0.3333  0.0000

The density comes out at 4.42 Mg/m³. As for the total moment: 2.00 μB/f.u. The calculation puts the formation energy without anion corrections at -1770 meV/atom.


No. 10
# KCa2IrO5

An optimized crystal structure of KCa2IrO5 (GGA-PBE, the Alexandria database).

Unit cell a=3.8369 b=5.9564 c=6.5902 alpha=116.87 beta=106.92 gamma=90.00
Positions (direct):
O  0.6360  0.9122  0.2720
O  0.3640  0.6402  0.7280
O  0.3640  0.0878  0.7280
O  0.0000  0.0000  0.0000
O  0.6360  0.3598  0.2720
Ir  0.5000  0.0000  0.0000
Ca  0.2206  0.2206  0.4412
Ca  0.7794  0.7794  0.5588
K  0.0000  0.5000  0.0000

The density comes out at 5.12 Mg/m³. As for the total moment: 1.45 μB/f.u. The calculation puts the formation energy without anion corrections at -1888 meV/atom.


No. 11
# K2CaIr3O12

An optimized crystal structure of K2CaIr3O12 (GGA-PBE, the Alexandria database).

Unit cell a=7.2091 b=7.2091 c=7.2091 alpha=61.51 beta=61.51 gamma=61.51
Positions (direct):
K  0.6090  0.6090  0.6090
K  0.3910  0.3910  0.3910
O  0.8959  0.8959  0.3918
O  0.6971  0.6971  0.1044
O  0.1041  0.1041  0.6082
O  0.1044  0.6971  0.6971
O  0.6971  0.1044  0.6971
O  0.8959  0.3918  0.8959
O  0.3918  0.8959  0.8959
O  0.3029  0.8956  0.3029
O  0.6082  0.1041  0.1041
O  0.8956  0.3029  0.3029
O  0.3029  0.3029  0.8956
O  0.1041  0.6082  0.1041
Ir  0.5000  0.0000  0.0000
Ir  0.0000  0.0000  0.5000
Ir  0.0000  0.5000  0.0000
Ca  0.0000  0.0000  0.0000

The density comes out at 5.38 Mg/m³. As for the total moment: 2.41 μB/f.u. The calculation puts the formation energy without anion corrections at -1011 meV/atom.


No. 12
# KCa2IrPb

An optimized crystal structure of KCa2IrPb (GGA-PBE, the Alexandria database).

Unit cell a=5.6607 b=5.6607 c=5.3193 alpha=90.00 beta=90.00 gamma=90.00
Positions (direct):
Ir  0.0000  0.0000  0.0000
Pb  0.0000  0.0000  0.5000
K  0.5000  0.5000  0.5000
Ca  0.5000  0.0000  0.0000
Ca  0.0000  0.5000  0.0000

The density comes out at 5.05 Mg/m³. The electronic total energy comes out at -3.72 eV per atom. As for the total moment: 0.00 μB/f.u.


What is the total moment in the eleventh record? 2.41 μB/f.u.